# 1
Below is MgAg3Au6 after structural relaxation, with properties calculated at the GGA-PBE level.

Lattice parameters (Å, degrees): 5.2984 8.8395 8.8395 112.44 90.00 90.00
Element x y z (fractional)
Ag  0.9914  0.7023  0.8928
Ag  0.9914  0.1072  0.2977
Mg  0.1313  0.1724  0.8276
Au  0.3799  0.5299  0.9720
Au  0.8010  0.0200  0.9800
Ag  0.5792  0.6202  0.3798
Au  0.1307  0.7441  0.2559
Au  0.6307  0.2559  0.7441
Au  0.5502  0.3012  0.4175
Au  0.0502  0.4175  0.3012
Au  0.3010  0.9800  0.0200
Au  0.8799  0.9720  0.5299
Au  0.0502  0.6988  0.5825
Au  0.3799  0.0280  0.4701
Ag  0.0792  0.3798  0.6202
Ag  0.4914  0.2977  0.1072
Ag  0.4914  0.8928  0.7023
Au  0.8799  0.4701  0.0280
Mg  0.6313  0.8276  0.1724
Au  0.5502  0.5825  0.6988

E_form	-0.042	eV per atom
density of states at the Fermi level	5.59	states/eV per cell
symmetry	Cmc2_1 (36)


# 2
Below is Mg4AgAu after structural relaxation, with properties calculated at the GGA-PBE level.

Lattice parameters (Å, degrees): 3.4243 5.4423 7.3682 107.08 76.56 71.66
Element x y z (fractional)
Mg  0.8329  0.5112  0.8231
Mg  0.3205  0.0277  0.3314
Au  0.5000  0.5000  0.5000
Mg  0.1671  0.4888  0.1769
Mg  0.6795  0.9723  0.6686
Ag  0.0000  0.0000  0.0000

E_form	-0.307	eV per atom
density of states at the Fermi level	1.02	states/eV per cell
symmetry	C2/m (12)


# 3
Below is Mg2Ag3Au2 after structural relaxation, with properties calculated at the GGA-PBE level.

Lattice parameters (Å, degrees): 4.2222 4.9918 6.7078 99.92 90.00 115.02
Element x y z (fractional)
Ag  0.3620  0.7240  0.5701
Mg  0.2070  0.4141  0.1581
Mg  0.7930  0.5859  0.8419
Au  0.0864  0.1729  0.7338
Au  0.9136  0.8271  0.2662
Ag  0.6380  0.2760  0.4299
Ag  0.5000  0.0000  0.0000

E_form	-0.294	eV per atom
density of states at the Fermi level	2.01	states/eV per cell
symmetry	C2/m (12)


# 4
Below is MgAg3Au3 after structural relaxation, with properties calculated at the GGA-PBE level.

Lattice parameters (Å, degrees): 6.9475 6.9475 7.6453 62.98 62.98 60.00
Element x y z (fractional)
Ag  0.7469  0.0666  0.6146
Ag  0.0666  0.5719  0.6146
Mg  0.6651  0.6651  0.0046
Au  0.0875  0.7940  0.8277
Au  0.2908  0.0875  0.8277
Au  0.7940  0.2908  0.8277
Ag  0.2531  0.9334  0.3854
Ag  0.5719  0.7469  0.6146
Au  0.9125  0.2060  0.1723
Au  0.2060  0.7092  0.1723
Mg  0.3349  0.3349  0.9954
Ag  0.4281  0.2531  0.3854
Au  0.7092  0.9125  0.1723
Ag  0.9334  0.4281  0.3854

E_form	-0.116	eV per atom
density of states at the Fermi level	5.43	states/eV per cell
symmetry	R-3 (148)


- Which value of density of states at the Fermi level does entry 1 give?
  5.59 states/eV per cell


- Which of these has the lowest E_form?
  Mg4AgAu


- The lowest E_form belongs to which entry?
  Mg4AgAu


Repeat the fourth record exactly.
Below is MgAg3Au3 after structural relaxation, with properties calculated at the GGA-PBE level.

Lattice parameters (Å, degrees): 6.9475 6.9475 7.6453 62.98 62.98 60.00
Element x y z (fractional)
Ag  0.7469  0.0666  0.6146
Ag  0.0666  0.5719  0.6146
Mg  0.6651  0.6651  0.0046
Au  0.0875  0.7940  0.8277
Au  0.2908  0.0875  0.8277
Au  0.7940  0.2908  0.8277
Ag  0.2531  0.9334  0.3854
Ag  0.5719  0.7469  0.6146
Au  0.9125  0.2060  0.1723
Au  0.2060  0.7092  0.1723
Mg  0.3349  0.3349  0.9954
Ag  0.4281  0.2531  0.3854
Au  0.7092  0.9125  0.1723
Ag  0.9334  0.4281  0.3854

E_form	-0.116	eV per atom
density of states at the Fermi level	5.43	states/eV per cell
symmetry	R-3 (148)